# MgCr2F, optimized geometry, DFT PBE+U
# - ρ (Mg/m³) = 2.5
# - crystal system = tetragonal
# - excess energy over the best structure of this formula in the dataset (eV/atom) = 0.000
# - size of the total moment (μB per atom) = 2.25
data_MgCr2F
_chemical_formula_sum 'Mg2 Cr4 F2'
_cell_length_a 5.730
_cell_length_b 5.730
_cell_length_c 7.284
_cell_angle_alpha 66.84
_cell_angle_beta 66.84
_cell_angle_gamma 90.00
_space_group_name_H-M_alt 'P 1'
_space_group_IT_number 1
loop_
_space_group_symop_operation_xyz
'x,y,z'
loop_
_atom_site_label
_atom_site_type_symbol
_atom_site_fract_x
_atom_site_fract_y
_atom_site_fract_z
Cr1 Cr 0.375 0.125 0.250
Cr2 Cr 0.375 0.625 0.250
Cr3 Cr 0.375 0.625 0.750
Cr4 Cr 0.875 0.625 0.750
Mg1 Mg 0.000 0.000 0.000
Mg2 Mg 0.750 0.250 0.500
F1 F 0.500 0.500 0.000
F2 F 0.250 0.750 0.500